(1)
Below is ZnCoAg2 after structural relaxation, with properties calculated at the GGA-PBE level.

It has space group I-4m2 (No. 119), with a = 3.961 Å, b = 3.961 Å, c = 7.769 Å, α = 90.00°, β = 90.00° and γ = 90.00°. The inequivalent atoms are Zn at (0.000, 0.000, 0.000), Co at (0.000, 0.500, 0.250), Ag at (0.000, 0.000, 0.500) and Ag at (0.000, 0.500, 0.750).

Its formation energy is 0.247 eV/atom. The total energy is -0.12030 hartree per atom.

(2)
Below is AlAuN after structural relaxation, with properties calculated at the GGA-PBE level.

It has space group P-6m2 (No. 187), with a = 3.0661 Å, b = 3.0661 Å, c = 6.1707 Å, α = 90.00°, β = 90.00° and γ = 120.00°. The inequivalent atoms are Al at (0.0000, 0.0000, 0.0000), Au at (0.3333, 0.6667, 0.5000) and N at (0.6667, 0.3333, 0.0000).

The total energy is -0.20279 hartree per atom. Its uncorrected formation energy is -1.21 eV/f.u.

(3)
Below is TcBRu3 after structural relaxation, with properties calculated at the GGA-PBE level.

It has space group Pm-3m (No. 221), with a = 4.039 Å, b = 4.039 Å, c = 4.039 Å, α = 90.00°, β = 90.00° and γ = 90.00°. The inequivalent atoms are Tc at (0.000, 0.000, 0.000), B at (0.500, 0.500, 0.500) and Ru at (0.000, 0.500, 0.500).

Its formation energy is 0.207 eV/atom. The total energy is -0.32219 hartree per atom.

(4)
Below is YSbAs2 after structural relaxation, with properties calculated at the GGA-PBE level.

It has space group I4/mmm (No. 139), with a = 4.335 Å, b = 4.335 Å, c = 9.772 Å, α = 90.00°, β = 90.00° and γ = 90.00°. The inequivalent atoms are Y at (0.000, 0.000, 0.000), Sb at (0.000, 0.000, 0.500) and As at (0.000, 0.500, 0.250).

The total energy is -0.19739 hartree per atom. Its uncorrected formation energy is -1.60 eV/f.u.

(5)
Below is Rb2NaEu after structural relaxation, with properties calculated at the GGA-PBE level.

It has space group P4/mmm (No. 123), with a = 4.307 Å, b = 4.307 Å, c = 13.350 Å, α = 90.00°, β = 90.00° and γ = 90.00°. The inequivalent atoms are Rb at (0.000, 0.000, 0.234), Na at (0.500, 0.500, 0.000) and Eu at (0.500, 0.500, 0.500).

Its formation energy is 0.173 eV/atom. The total energy is -0.11794 hartree per atom.

(6)
Below is TaFeP3 after structural relaxation, with properties calculated at the GGA-PBE level.

It has space group Pm-3m (No. 221), with a = 4.306 Å, b = 4.306 Å, c = 4.306 Å, α = 90.00°, β = 90.00° and γ = 90.00°. The inequivalent atoms are Ta at (0.000, 0.000, 0.000), Fe at (0.500, 0.500, 0.500) and P at (0.000, 0.500, 0.500).

Its formation energy is 0.742 eV/atom. The total energy is -0.24133 hartree per atom.

(7)
Below is AgBi2HPd after structural relaxation, with properties calculated at the GGA-PBE level.

It has space group P4/mmm (No. 123), with a = 5.596 Å, b = 5.596 Å, c = 3.351 Å, α = 90.00°, β = 90.00° and γ = 90.00°. The inequivalent atoms are Ag at (0.000, 0.000, 0.000), Bi at (0.000, 0.500, 0.500), H at (0.500, 0.500, 0.000) and Pd at (0.500, 0.500, 0.500).

The total energy is -0.13856 hartree per atom.

(8)
Below is TaAlCd2 after structural relaxation, with properties calculated at the GGA-PBE level.

It has space group R3m (No. 160, hexagonal axes), with a = 3.0127 Å, b = 3.0127 Å, c = 29.7324 Å, α = 90.00°, β = 90.00° and γ = 120.00°. The inequivalent atoms are Ta at (0.0000, 0.0000, 0.0000), Al at (0.0000, 0.0000, 0.2583), Cd at (0.0000, 0.0000, 0.5083) and Cd at (0.0000, 0.0000, 0.7511).

Its formation energy is 0.122 eV/atom. The total energy is -0.15560 hartree per atom.

Repeat the third record exactly.
Below is TcBRu3 after structural relaxation, with properties calculated at the GGA-PBE level.

It has space group Pm-3m (No. 221), with a = 4.039 Å, b = 4.039 Å, c = 4.039 Å, α = 90.00°, β = 90.00° and γ = 90.00°. The inequivalent atoms are Tc at (0.000, 0.000, 0.000), B at (0.500, 0.500, 0.500) and Ru at (0.000, 0.500, 0.500).

Its formation energy is 0.207 eV/atom. The total energy is -0.32219 hartree per atom.